1.
This record from the Alexandria database describes an optimized crystal structure of KLaCoHg2. The functional is GGA-PBE.

Cell: 5.356 5.356 4.839 Å, 90.00 90.00 90.00°
Positions (direct):
Hg 0.000 0.500 0.000
Co 0.000 0.000 0.000
La 0.000 0.000 0.500
Hg 0.500 0.000 0.000
K 0.500 0.500 0.500

Results
* ΔE_f: -164 meV/atom
* symmetry: P4/mmm

***

2.
This record from the Alexandria database describes an optimized crystal structure of KLa2CoHg. The functional is GGA-PBE.

Cell: 5.335 5.335 5.387 Å, 90.00 90.00 90.00°
Positions (direct):
La 0.000 0.500 0.000
Hg 0.000 0.000 0.500
La 0.500 0.000 0.000
K 0.500 0.500 0.500
Co 0.000 0.000 0.000

Results
* ΔE_f: -17 meV/atom
* symmetry: P4/mmm

***

What did the first record say?
This record from the Alexandria database describes an optimized crystal structure of KLaCoHg2. The functional is GGA-PBE.

Cell: 5.356 5.356 4.839 Å, 90.00 90.00 90.00°
Positions (direct):
Hg 0.000 0.500 0.000
Co 0.000 0.000 0.000
La 0.000 0.000 0.500
Hg 0.500 0.000 0.000
K 0.500 0.500 0.500

Results
* ΔE_f: -164 meV/atom
* symmetry: P4/mmm

***

Question: ΔE_f of number 2 (KLa2CoHg)?
Answer: -17 meV/atom

***

Question: Look up the ΔE_f of the second one.
Answer: -17 meV/atom